Material: ReRh2Pb
Method: DFT, PBE-GGA
State: optimized geometry

Values from the calculation:
E_tot: -30.150 eV per formula unit
energy relative to the elements: 177 meV/atom
total magnetic moment: 0.00 μB per cell
DOS at the Fermi energy: 4.143 states/eV per cell
mass density: 14.6 g/cm3

Cell: 2.905 2.905 8.083 Å, 90.00 90.00 90.00°
Space group P4/mmm (No. 123)
Symmetry-distinct sites (fractional):
Re 0.000 0.000 0.000 x1
Rh 0.500 0.500 0.215 x2
Pb 0.000 0.000 0.500 x1